1.
# Ac2ZnH2O6

A geometry-optimized Ac2ZnH2O6 structure (PBE, the Alexandria database).

The crystal system is trigonal. For the raw total energy, the calculation gives -5.897 eV/atom. The calculated volume is 11.1 A^3/atom.

The space group is R-3m (No. 166, hexagonal axes) and the conventional cell measures 5.2736, 5.2736 and 15.1857 Å, with angles of 90.00, 90.00 and 120.00 degrees. Symmetry generates all atoms from Ac at (0.0000, 0.0000, 0.2388), Zn at (0.0000, 0.0000, 0.0000), H at (0.0000, 0.0000, 0.4191) and O at (0.0168, 0.5084, 0.2510).


2.
# AcH8Os2

A geometry-optimized AcH8Os2 structure (PBE, the Alexandria database).

The crystal system is monoclinic. For the raw total energy, the calculation gives -4.937 eV/atom. The calculated volume is 9.1 A^3/atom.

The space group is Cm (No. 8) and the conventional cell measures 4.983, 8.449 and 4.791 Å, with angles of 90.00, 93.74 and 90.00 degrees. Symmetry generates all atoms from Ac at (0.000, 0.000, 0.000), H at (0.020, 0.500, 0.197), H at (0.155, 0.270, 0.795), H at (0.249, 0.217, 0.257), H at (0.425, 0.368, 0.526), H at (0.435, 0.000, 0.675) and Os at (0.089, 0.343, 0.476).


3.
# Ac2H8Os

A geometry-optimized Ac2H8Os structure (PBE, the Alexandria database).

The crystal system is monoclinic. For the raw total energy, the calculation gives -4.497 eV/atom. The calculated volume is 11.1 A^3/atom.

The space group is C2/m (No. 12) and the conventional cell measures 14.620, 3.909 and 4.483 Å, with angles of 90.00, 107.33 and 90.00 degrees. Symmetry generates all atoms from Ac at (0.140, 0.000, 0.137), H at (0.001, 0.000, 0.666), H at (0.059, 0.500, 0.227), H at (0.118, 0.500, 0.737), H at (0.244, 0.000, 0.739) and Os at (0.000, 0.500, 0.500).


4.
# Ac3HOs

A geometry-optimized Ac3HOs structure (PBE, the Alexandria database).

The crystal system is monoclinic. For the raw total energy, the calculation gives -5.552 eV/atom. The calculated volume is 32.0 A^3/atom.

The space group is C2/m (No. 12) and the conventional cell measures 7.412, 12.833 and 7.146 Å, with angles of 90.00, 109.79 and 90.00 degrees. Symmetry generates all atoms from Ac at (0.246, 0.166, 0.241), Ac at (0.247, 0.500, 0.250), H at (0.120, 0.000, 0.366) and Os at (0.000, 0.332, 0.000).


5.
# Ac8HOs2

A geometry-optimized Ac8HOs2 structure (PBE, the Alexandria database).

The crystal system is monoclinic. For the raw total energy, the calculation gives -5.342 eV/atom. The calculated volume is 36.6 A^3/atom.

The space group is C2/m (No. 12) and the conventional cell measures 13.154, 9.732 and 6.301 Å, with angles of 90.00, 93.26 and 90.00 degrees. Symmetry generates all atoms from Ac at (0.100, 0.210, 0.246), Ac at (0.123, 0.500, 0.708), Ac at (0.184, 0.000, 0.756), H at (0.000, 0.000, 0.000) and Os at (0.091, 0.500, 0.182).


6.
# AcH6Os

A geometry-optimized AcH6Os structure (PBE, the Alexandria database).

The crystal system is trigonal. For the raw total energy, the calculation gives -4.691 eV/atom. The calculated volume is 10.0 A^3/atom.

The space group is R-3m (No. 166, hexagonal axes) and the conventional cell measures 4.9075, 4.9075 and 11.5500 Å, with angles of 90.00, 90.00 and 120.00 degrees. Symmetry generates all atoms from Ac at (0.0000, 0.0000, 0.0000), H at (0.0192, 0.5096, 0.9054) and Os at (0.0000, 0.0000, 0.5000).


no.,Fermi-level density of states (states/eV per cell)
1,19.17
2,7.33
3,0.33
4,12.39
5,20.78
6,6.00